No. 1
8
Lattice="-1.640 4.126 -3.747 -3.696 -3.729 -2.488 -6.913 1.908 0.623" Properties=species:S:1:pos:R:3 comment="KVSe2 PBE optimized geometry" n_ef_per_ev_cell=8.45 raw_formation_energy_mev_per_atom=-582 pbc="T T T"
Se -3.833 2.400 -4.688
K -6.638 -0.811 -2.492
Se -7.388 3.832 -1.555
V 0.000 0.000 0.000
K -2.668 0.198 -3.118
V -5.611 3.116 -3.121
Se -7.113 1.113 -4.669
Se -5.135 1.192 -0.944

=====

No. 2
20
Lattice="7.117 0.000 0.000 0.000 7.110 1.772 0.000 0.140 7.326" Properties=species:S:1:pos:R:3 comment="K3PH6 PBE optimized geometry" energy_ev_per_atom=-3.051 n_ef_per_ev_cell=0.00 pbc="T T T"
K 1.235 3.624 4.550
H 6.344 6.182 2.512
H 3.980 5.203 1.969
K 4.114 2.320 1.118
H 6.493 5.559 5.636
H 0.422 0.758 5.511
K 4.114 6.678 6.587
H 2.851 1.666 6.110
K 4.793 3.627 4.548
P 2.991 5.898 2.738
K 0.556 0.572 2.511
H 2.934 4.253 6.677
K 0.556 4.931 7.980
H 2.934 1.691 3.462
H 3.980 6.493 3.587
P 6.549 1.352 6.360
H 0.422 2.048 7.129
H 2.786 1.069 6.586
H 6.493 2.997 2.421
H 6.409 5.584 2.988